Material: CaNdAg
Method: DFT, PBE
State: relaxed

Properties
N(E_F): 1.50 states/eV/atom
Mass density: 4.9 g/cm3
ΔH_f (0 K): -0.023 eV/atom
Total DFT energy (no corrections): -9.689 eV/f.u.
Energy relative to the lowest polymorph listed for this composition: 121 meV/atom

CIF file:
```
data_CaNdAg
_chemical_formula_sum 'Ca6 Nd6 Ag6'
_cell_length_a 5.1316
_cell_length_b 5.1316
_cell_length_c 26.1530
_cell_angle_alpha 90.00
_cell_angle_beta 90.00
_cell_angle_gamma 120.00
_space_group_name_H-M_alt 'R -3 m'
_space_group_IT_number 166
_space_group_name_Hall '-R 3 2"'
loop_
_atom_site_label
_atom_site_type_symbol
_atom_site_fract_x
_atom_site_fract_y
_atom_site_fract_z
Ca1 Ca 0.0000 0.0000 0.1257
Nd1 Nd 0.0000 0.0000 0.3732
Ag1 Ag 0.0000 0.0000 0.2531
```

Material: Ca2NdAg
Method: DFT, PBE
State: relaxed

Properties
N(E_F): 1.07 states/eV/atom
Mass density: 4.2 g/cm3
ΔH_f (0 K): -0.023 eV/atom
Total DFT energy (no corrections): -11.712 eV/f.u.
Energy relative to the lowest polymorph listed for this composition: 79 meV/atom

CIF file:
```
data_Ca2NdAg
_chemical_formula_sum 'Ca6 Nd3 Ag3'
_cell_length_a 3.7931
_cell_length_b 3.7931
_cell_length_c 32.0004
_cell_angle_alpha 90.00
_cell_angle_beta 90.00
_cell_angle_gamma 120.00
_space_group_name_H-M_alt 'R 3 m'
_space_group_IT_number 160
_space_group_name_Hall 'R 3 -2"'
loop_
_atom_site_label
_atom_site_type_symbol
_atom_site_fract_x
_atom_site_fract_y
_atom_site_fract_z
Ca1 Ca 0.0000 0.0000 0.0000
Ca2 Ca 0.0000 0.0000 0.1953
Nd1 Nd 0.0000 0.0000 0.4315
Ag1 Ag 0.0000 0.0000 0.5976
```

Material: CaNd2Ag3
Method: DFT, PBE
State: relaxed

Properties
N(E_F): 0.65 states/eV/atom
Mass density: 6.9 g/cm3
ΔH_f (0 K): -0.279 eV/atom
Total DFT energy (no corrections): -21.765 eV/f.u.
Energy relative to the lowest polymorph listed for this composition: 7 meV/atom

CIF file:
```
data_CaNd2Ag3
_chemical_formula_sum 'Ca1 Nd2 Ag3'
_cell_length_a 3.7148
_cell_length_b 3.7148
_cell_length_c 11.4130
_cell_angle_alpha 90.00
_cell_angle_beta 90.00
_cell_angle_gamma 90.00
_space_group_name_H-M_alt 'P 4/m m m'
_space_group_IT_number 123
_space_group_name_Hall '-P 4 2'
loop_
_atom_site_label
_atom_site_type_symbol
_atom_site_fract_x
_atom_site_fract_y
_atom_site_fract_z
Ca1 Ca 0.0000 0.0000 0.0000
Nd1 Nd 0.0000 0.0000 0.3311
Ag1 Ag 0.5000 0.5000 0.1694
Ag2 Ag 0.5000 0.5000 0.5000
```

Material: CaNd5Ag4
Method: DFT, PBE
State: relaxed

Properties
N(E_F): 1.03 states/eV/atom
Mass density: 6.9 g/cm3
ΔH_f (0 K): -0.177 eV/atom
Total DFT energy (no corrections): -39.020 eV/f.u.

CIF file:
```
data_CaNd5Ag4
_chemical_formula_sum 'Ca1 Nd5 Ag4'
_cell_length_a 3.7452
_cell_length_b 3.7452
_cell_length_c 20.5366
_cell_angle_alpha 90.00
_cell_angle_beta 90.00
_cell_angle_gamma 90.00
_space_group_name_H-M_alt 'P 4/m m m'
_space_group_IT_number 123
_space_group_name_Hall '-P 4 2'
loop_
_atom_site_label
_atom_site_type_symbol
_atom_site_fract_x
_atom_site_fract_y
_atom_site_fract_z
Ca1 Ca 0.0000 0.0000 0.0000
Nd1 Nd 0.5000 0.5000 0.1345
Nd2 Nd 0.5000 0.5000 0.3156
Nd3 Nd 0.5000 0.5000 0.5000
Ag1 Ag 0.0000 0.0000 0.2233
Ag2 Ag 0.0000 0.0000 0.4077
```

Material: CaNdAg
Method: DFT, PBE
State: relaxed

Properties
N(E_F): 1.25 states/eV/atom
Mass density: 4.9 g/cm3
ΔH_f (0 K): -0.028 eV/atom
Total DFT energy (no corrections): -9.704 eV/f.u.
Energy relative to the lowest polymorph listed for this composition: 116 meV/atom

CIF file:
```
data_CaNdAg
_chemical_formula_sum 'Ca8 Nd8 Ag8'
_cell_length_a 10.5090
_cell_length_b 10.1680
_cell_length_c 9.0655
_cell_angle_alpha 90.00
_cell_angle_beta 125.34
_cell_angle_gamma 90.00
_space_group_name_H-M_alt 'C 1 2/c 1'
_space_group_IT_number 15
loop_
_space_group_symop_operation_xyz
'x,y,z'
'-x,-y,-z'
'-x,y,-z+1/2'
'x,-y,z+1/2'
'x+1/2,y+1/2,z'
'-x+1/2,-y+1/2,-z'
'-x+1/2,y+1/2,-z+1/2'
'x+1/2,-y+1/2,z+1/2'
loop_
_atom_site_label
_atom_site_type_symbol
_atom_site_fract_x
_atom_site_fract_y
_atom_site_fract_z
Ca1 Ca 0.1226 0.1250 0.4954
Nd1 Nd 0.1249 0.3750 0.9997
Ag1 Ag 0.2424 0.3750 0.7500
```

Material: Ca2NdAg
Method: DFT, PBE
State: relaxed

Properties
N(E_F): 1.47 states/eV/atom
Mass density: 4.2 g/cm3
ΔH_f (0 K): -0.101 eV/atom
Total DFT energy (no corrections): -12.026 eV/f.u.
Energy relative to the lowest polymorph listed for this composition: 0 meV/atom

CIF file:
```
data_Ca2NdAg
_chemical_formula_sum 'Ca8 Nd4 Ag4'
_cell_length_a 3.8676
_cell_length_b 13.0618
_cell_length_c 10.4300
_cell_angle_alpha 90.00
_cell_angle_beta 90.00
_cell_angle_gamma 90.00
_space_group_name_H-M_alt 'C m c m'
_space_group_IT_number 63
_space_group_name_Hall '-C 2c 2'
loop_
_atom_site_label
_atom_site_type_symbol
_atom_site_fract_x
_atom_site_fract_y
_atom_site_fract_z
Ca1 Ca 0.0000 0.1362 0.0590
Nd1 Nd 0.0000 0.4339 0.2500
Ag1 Ag 0.0000 0.2501 0.7500
```

Material: Ca2NdAg9
Method: DFT, PBE
State: relaxed

Properties
N(E_F): 0.76 states/eV/atom
Mass density: 7.5 g/cm3
ΔH_f (0 K): -0.195 eV/atom
Total DFT energy (no corrections): -36.770 eV/f.u.

CIF file:
```
data_Ca2NdAg9
_chemical_formula_sum 'Ca6 Nd3 Ag27'
_cell_length_a 5.7011
_cell_length_b 5.7011
_cell_length_c 28.0436
_cell_angle_alpha 90.00
_cell_angle_beta 90.00
_cell_angle_gamma 120.00
_space_group_name_H-M_alt 'R -3 m'
_space_group_IT_number 166
_space_group_name_Hall '-R 3 2"'
loop_
_atom_site_label
_atom_site_type_symbol
_atom_site_fract_x
_atom_site_fract_y
_atom_site_fract_z
Ca1 Ca 0.0000 0.0000 0.1417
Nd1 Nd 0.0000 0.0000 0.0000
Ag1 Ag 0.0000 0.0000 0.3330
Ag2 Ag 0.0000 0.0000 0.5000
Ag3 Ag 0.0020 0.5010 0.9162
```

Material: Ca2NdAg
Method: DFT, PBE
State: relaxed

Properties
N(E_F): 1.27 states/eV/atom
Mass density: 4.3 g/cm3
ΔH_f (0 K): -0.092 eV/atom
Total DFT energy (no corrections): -11.992 eV/f.u.
Energy relative to the lowest polymorph listed for this composition: 9 meV/atom

CIF file:
```
data_Ca2NdAg
_chemical_formula_sum 'Ca2 Nd1 Ag1'
_cell_length_a 3.5997
_cell_length_b 3.5997
_cell_length_c 9.8234
_cell_angle_alpha 90.00
_cell_angle_beta 90.00
_cell_angle_gamma 90.00
_space_group_name_H-M_alt 'P 4/m m m'
_space_group_IT_number 123
_space_group_name_Hall '-P 4 2'
loop_
_atom_site_label
_atom_site_type_symbol
_atom_site_fract_x
_atom_site_fract_y
_atom_site_fract_z
Ca1 Ca 0.0000 0.0000 0.1998
Nd1 Nd 0.5000 0.5000 0.5000
Ag1 Ag 0.5000 0.5000 0.0000
```

Material: CaNd2Ag4
Method: DFT, PBE
State: relaxed

Properties
N(E_F): 0.94 states/eV/atom
Mass density: 6.5 g/cm3
ΔH_f (0 K): -0.080 eV/atom
Total DFT energy (no corrections): -23.504 eV/f.u.

CIF file:
```
data_CaNd2Ag4
_chemical_formula_sum 'Ca3 Nd6 Ag12'
_cell_length_a 5.1491
_cell_length_b 5.1491
_cell_length_c 25.2826
_cell_angle_alpha 90.00
_cell_angle_beta 90.00
_cell_angle_gamma 120.00
_space_group_name_H-M_alt 'R -3 m'
_space_group_IT_number 166
_space_group_name_Hall '-R 3 2"'
loop_
_atom_site_label
_atom_site_type_symbol
_atom_site_fract_x
_atom_site_fract_y
_atom_site_fract_z
Ca1 Ca 0.0000 0.0000 0.0000
Nd1 Nd 0.0000 0.0000 0.2444
Ag1 Ag 0.0000 0.0000 0.1224
Ag2 Ag 0.0000 0.0000 0.3729
```

Material: CaNdAg
Method: DFT, PBE
State: relaxed

Properties
N(E_F): 1.54 states/eV/atom
Mass density: 5.0 g/cm3
ΔH_f (0 K): -0.018 eV/atom
Total DFT energy (no corrections): -9.674 eV/f.u.
Energy relative to the lowest polymorph listed for this composition: 126 meV/atom

CIF file:
```
data_CaNdAg
_chemical_formula_sum 'Ca4 Nd4 Ag4'
_cell_length_a 7.3166
_cell_length_b 7.3166
_cell_length_c 7.3166
_cell_angle_alpha 90.00
_cell_angle_beta 90.00
_cell_angle_gamma 90.00
_space_group_name_H-M_alt 'F -4 3 m'
_space_group_IT_number 216
_space_group_name_Hall 'F -4 2 3'
loop_
_atom_site_label
_atom_site_type_symbol
_atom_site_fract_x
_atom_site_fract_y
_atom_site_fract_z
Ca1 Ca 0.0000 0.0000 0.0000
Nd1 Nd 0.0000 0.0000 0.5000
Ag1 Ag 0.2500 0.2500 0.2500
```

Material: Ca2NdAg3
Method: DFT, PBE
State: relaxed

Properties
N(E_F): 0.74 states/eV/atom
Mass density: 5.9 g/cm3
ΔH_f (0 K): -0.297 eV/atom
Total DFT energy (no corrections): -19.105 eV/f.u.

CIF file:
```
data_Ca2NdAg3
_chemical_formula_sum 'Ca4 Nd2 Ag6'
_cell_length_a 5.2810
_cell_length_b 15.8286
_cell_length_c 3.7101
_cell_angle_alpha 90.00
_cell_angle_beta 90.00
_cell_angle_gamma 90.00
_space_group_name_H-M_alt 'C m m m'
_space_group_IT_number 65
_space_group_name_Hall '-C 2 2'
loop_
_atom_site_label
_atom_site_type_symbol
_atom_site_fract_x
_atom_site_fract_y
_atom_site_fract_z
Ca1 Ca 0.0000 0.1675 0.0000
Nd1 Nd 0.0000 0.5000 0.0000
Ag1 Ag 0.0000 0.0000 0.5000
Ag2 Ag 0.0000 0.3360 0.5000
```

Material: CaNdNiAg
Method: DFT, PBE
State: relaxed

Properties
N(E_F): 0.95 states/eV/atom
Mass density: 6.2 g/cm3
ΔH_f (0 K): -0.178 eV/atom
Total DFT energy (no corrections): -16.112 eV/f.u.

CIF file:
```
data_CaNdNiAg
_chemical_formula_sum 'Ca4 Nd4 Ni4 Ag4'
_cell_length_a 7.2089
_cell_length_b 7.2089
_cell_length_c 7.2089
_cell_angle_alpha 90.00
_cell_angle_beta 90.00
_cell_angle_gamma 90.00
_space_group_name_H-M_alt 'F -4 3 m'
_space_group_IT_number 216
_space_group_name_Hall 'F -4 2 3'
loop_
_atom_site_label
_atom_site_type_symbol
_atom_site_fract_x
_atom_site_fract_y
_atom_site_fract_z
Ca1 Ca 0.0000 0.0000 0.0000
Nd1 Nd 0.0000 0.0000 0.5000
Ni1 Ni 0.2500 0.2500 0.7500
Ag1 Ag 0.2500 0.2500 0.2500
```